First-principles (GGA-PBE) data for an optimized crystal structure of YZr2Tl, as listed in Alexandria via LeMat-Bulk. Values from VASP.

```
&SYSTEM
  ibrav = 0, nat = 4, ntyp = 3
/
ATOMIC_SPECIES
Tl 204.38 Tl.upf
Y 88.91 Y.upf
Zr 91.22 Zr.upf
CELL_PARAMETERS angstrom
10.795 0.018 0.011
10.277 3.303 0.011
10.277 1.620 2.878
ATOMIC_POSITIONS crystal
Tl 0.250 0.250 0.250
Y 0.750 0.750 0.750
Zr 0.997 0.997 0.997
Zr 0.503 0.503 0.503
```

total magnetic moment = 0.00 μB per cell
density = 7.8 g/cm3

=====

First-principles (GGA-PBE) data for an optimized crystal structure of YZr2Tl, as listed in Alexandria via LeMat-Bulk. Values from VASP.

```
&SYSTEM
  ibrav = 0, nat = 4, ntyp = 3
/
ATOMIC_SPECIES
Y 88.91 Y.upf
Tl 204.38 Tl.upf
Zr 91.22 Zr.upf
CELL_PARAMETERS angstrom
0.000 3.640 3.640
3.640 0.000 3.640
3.640 3.640 0.000
ATOMIC_POSITIONS crystal
Y 0.000 0.000 0.000
Tl 0.500 0.500 0.500
Zr 0.250 0.250 0.250
Zr 0.750 0.750 0.750
```

total magnetic moment = 0.00 μB per cell
density = 8.2 g/cm3

=====

First-principles (GGA-PBE) data for an optimized crystal structure of Y2ZrTl3, as listed in Alexandria via LeMat-Bulk. Values from VASP.

```
&SYSTEM
  ibrav = 0, nat = 6, ntyp = 3
/
ATOMIC_SPECIES
Y 88.91 Y.upf
Zr 91.22 Zr.upf
Tl 204.38 Tl.upf
CELL_PARAMETERS angstrom
3.414 0.000 0.000
0.000 3.414 0.000
0.000 0.000 13.175
ATOMIC_POSITIONS crystal
Y 0.500 0.500 0.826
Y 0.500 0.500 0.174
Zr 0.500 0.500 0.500
Tl 0.000 0.000 0.000
Tl 0.000 0.000 0.657
Tl 0.000 0.000 0.343
```

total magnetic moment = 0.69 μB per cell
density = 9.5 g/cm3

=====

First-principles (GGA-PBE) data for an optimized crystal structure of YZr2Tl, as listed in Alexandria via LeMat-Bulk. Values from VASP.

```
&SYSTEM
  ibrav = 0, nat = 4, ntyp = 3
/
ATOMIC_SPECIES
Tl 204.38 Tl.upf
Y 88.91 Y.upf
Zr 91.22 Zr.upf
CELL_PARAMETERS angstrom
5.662 0.003 -0.023
4.697 3.161 -0.023
1.027 0.314 5.606
ATOMIC_POSITIONS crystal
Tl 0.493 0.493 0.499
Y 0.241 0.241 0.266
Zr 0.010 0.010 0.970
Zr 0.756 0.756 0.765
```

total magnetic moment = 0.00 μB per cell
density = 7.9 g/cm3

=====

First-principles (GGA-PBE) data for an optimized crystal structure of YZrTl2, as listed in Alexandria via LeMat-Bulk. Values from VASP.

```
&SYSTEM
  ibrav = 0, nat = 4, ntyp = 3
/
ATOMIC_SPECIES
Tl 204.38 Tl.upf
Y 88.91 Y.upf
Zr 91.22 Zr.upf
CELL_PARAMETERS angstrom
3.608 0.000 0.000
0.000 4.603 0.000
0.000 0.000 6.367
ATOMIC_POSITIONS crystal
Tl 0.000 0.000 0.978
Tl 0.500 0.500 0.263
Y 0.000 0.000 0.491
Zr 0.500 0.500 0.769
```

total magnetic moment = 0.00 μB per cell
density = 9.2 g/cm3

=====

First-principles (GGA-PBE) data for an optimized crystal structure of YZr2Tl, as listed in Alexandria via LeMat-Bulk. Values from VASP.

```
&SYSTEM
  ibrav = 0, nat = 4, ntyp = 3
/
ATOMIC_SPECIES
Tl 204.38 Tl.upf
Y 88.91 Y.upf
Zr 91.22 Zr.upf
CELL_PARAMETERS angstrom
5.291 0.000 0.000
0.000 5.291 0.000
0.000 0.000 3.498
ATOMIC_POSITIONS crystal
Tl 0.500 0.000 0.500
Y 0.000 0.500 0.500
Zr 0.000 0.000 0.000
Zr 0.500 0.500 0.000
```

total magnetic moment = 0.00 μB per cell
density = 8.1 g/cm3

=====

| no. | energy of formation (eV/atom) | E (eV per atom) |
| --- | --- | --- |
| 1 | 0.0793 | -6.40 |
| 2 | 0.1323 | -6.35 |
| 3 | -0.2364 | -5.00 |
| 4 | 0.0175 | -6.46 |
| 5 | -0.0066 | -4.94 |
| 6 | 0.1012 | -6.38 |